No. 1
BeFeTe2N | PBE | optimized geometry

Unit cell a=5.1711 b=5.1711 c=3.0386 alpha=90.00 beta=90.00 gamma=90.00
With the nearest neighbours (Å) after each atom.
Element x y z (fractional)
Be: 0.0000 0.0000 0.0000  2 N 1.52
Fe: 0.5000 0.5000 0.5000  8 Te 3.00, 2 Fe 3.04
Te: 0.0000 0.5000 0.0000  2 Be 2.59
Te: 0.5000 0.0000 0.0000  2 Be 2.59
N: 0.0000 0.0000 0.5000  2 Be 1.52

## Properties
Its space-group type is No. 123. As for the electronic total energy: -4.779 eV per atom. Its density of states at the Fermi level is 4.53 states/eV/cell. The value obtained for the size of the total moment is 2.9 μB/f.u. The uncorrected formation energy comes out at 0.581 eV per atom. Its crystal system is tetragonal.


No. 2
CaOsBr2 | PBE | optimized geometry

Unit cell a=9.1274 b=9.1274 c=9.1274 alpha=22.19 beta=22.19 gamma=22.19
With the nearest neighbours (Å) after each atom.
Element x y z (fractional)
Ca: 0.0000 0.0000 0.0000  6 Br 2.84
Os: 0.5000 0.5000 0.5000  2 Br 2.46
Br: 0.4079 0.4079 0.4079  1 Os 2.46
Br: 0.5921 0.5921 0.5921  1 Os 2.46

## Properties
Its space-group type is No. 166. As for the electronic total energy: -3.885 eV per atom. Its density of states at the Fermi level is 4.49 states/eV/cell. The value obtained for the size of the total moment is 0.9 μB/f.u. The uncorrected formation energy comes out at 0.259 eV per atom. Its crystal system is trigonal.


No. 3
MnZn2Au | PBE | optimized geometry

Unit cell a=8.8882 b=8.8882 c=8.8882 alpha=18.57 beta=18.57 gamma=18.57
With the nearest neighbours (Å) after each atom.
Element x y z (fractional)
Mn: 0.0000 0.0000 0.0000  6 Zn 2.66, 6 Mn 2.87
Zn: 0.2539 0.2539 0.2539  3 Mn 2.66, 3 Au 2.82, 6 Zn 2.87
Zn: 0.7461 0.7461 0.7461  3 Mn 2.66, 3 Au 2.82, 6 Zn 2.87
Au: 0.5000 0.5000 0.5000  6 Zn 2.82, 6 Au 2.87

## Properties
Its space-group type is No. 166. As for the electronic total energy: -3.727 eV per atom. Its density of states at the Fermi level is 1.71 states/eV/cell. The energy relative to the elements comes out at 2.11 kJ per mole of atoms. The value obtained for the size of the total moment is 3.3 μB/f.u. Its crystal system is trigonal.


No. 4
ScCuO2F | PBE | optimized geometry

Unit cell a=4.0845 b=4.0845 c=4.0002 alpha=90.00 beta=90.00 gamma=90.00
With the nearest neighbours (Å) after each atom.
Element x y z (fractional)
Sc: 0.0000 0.0000 0.0000  2 F 2.00, 4 O 2.04
Cu: 0.5000 0.5000 0.5000  8 O 2.86, 4 F 2.89
O: 0.0000 0.5000 0.0000  2 Sc 2.04
O: 0.5000 0.0000 0.0000  2 Sc 2.04
F: 0.0000 0.0000 0.5000  2 Sc 2.00

## Properties
Its space-group type is No. 123. As for the electronic total energy: -6.188 eV per atom. Its density of states at the Fermi level is 5.95 states/eV/cell. The value obtained for the size of the total moment is 0.0 μB/f.u. The uncorrected formation energy comes out at -1.745 eV per atom. Its crystal system is tetragonal.